Entry 1:
DFT (PBE) results for a relaxed structure of DyMgInSn.

Calculated values
Symmetry: Pmmm (47)
Total moment in μB per atom: 0.000
E above lowest polymorph in eV/atom: 0.000
Calculated total energy in eV/atom: -3.69
Formation energy in eV per formula unit: -1.820

a b c (Å): 4.454 4.610 4.759
angles (deg): 90.00 90.00 90.00
Fractional coordinates of all 4 atoms:
Dy: 0.500 0.000 0.500
Mg: 0.500 0.500 0.000
In: 0.000 0.000 0.000
Sn: 0.000 0.500 0.500

Entry 2:
DFT (PBE) results for a relaxed structure of La4SmHo2Mg.

Calculated values
Symmetry: Pmmm (47)
Total moment in μB per atom: 0.000
Calculated total energy in eV/atom: -4.36
Formation energy in eV per formula unit: 0.305

a b c (Å): 5.867 5.871 9.809
angles (deg): 53.24 90.01 90.02
Fractional coordinates of all 8 atoms:
La: 0.000 0.764 0.736
La: 0.000 0.236 0.264
La: 0.500 0.735 0.265
La: 0.500 0.265 0.735
Sm: 0.500 0.500 0.000
Ho: 0.000 0.000 0.000
Ho: 0.500 0.000 0.500
Mg: 0.000 0.500 0.500

Entry 3:
DFT (PBE) results for a relaxed structure of RbCd3Pt.

Calculated values
Symmetry: Pnma (62)
Total moment in μB per atom: 0.000
E above lowest polymorph in eV/atom: 0.177
Calculated total energy in eV/atom: -2.02
Formation energy in eV per formula unit: -0.366

a b c (Å): 5.619 10.602 8.461
angles (deg): 90.00 90.00 90.00
Fractional coordinates of all 20 atoms:
Rb: 0.691 0.250 0.351
Rb: 0.809 0.750 0.851
Rb: 0.309 0.750 0.649
Rb: 0.191 0.250 0.149
Pt: 0.000 0.000 0.500
Pt: 0.500 0.500 0.000
Pt: 0.500 0.000 0.000
Pt: 0.000 0.500 0.500
Cd: 0.076 0.045 0.832
Cd: 0.424 0.545 0.332
Cd: 0.424 0.955 0.332
Cd: 0.924 0.545 0.168
Cd: 0.924 0.955 0.168
Cd: 0.576 0.455 0.668
Cd: 0.576 0.045 0.668
Cd: 0.076 0.455 0.832
Cd: 0.663 0.250 0.900
Cd: 0.837 0.750 0.400
Cd: 0.337 0.750 0.100
Cd: 0.163 0.250 0.600

Entry 4:
DFT (PBE) results for a relaxed structure of KAg2SbF6.

Calculated values
Symmetry: R3 (146)
E_form (uncorrected) in eV per atom: -1.9174
Total moment in μB per atom: 0.000
Calculated total energy in eV/atom: -4.13

a b c (Å): 6.434 6.433 6.191
angles (deg): 58.61 58.59 59.94
Fractional coordinates of all 10 atoms:
K: 0.799 0.799 0.602
Ag: 0.548 0.548 0.356
Ag: 0.031 0.032 0.906
Sb: 0.306 0.306 0.082
F: 0.617 0.231 0.219
F: 0.231 0.933 0.218
F: 0.933 0.617 0.220
F: 0.397 0.644 0.804
F: 0.644 0.155 0.804
F: 0.155 0.397 0.804

Entry 5:
DFT (PBE) results for a relaxed structure of Cu3Pt2.

Calculated values
Symmetry: P-3m1 (164)
Total moment in μB per atom: 0.000
E above lowest polymorph in eV/atom: 0.253
Calculated total energy in eV/atom: -4.78
Formation energy in eV per formula unit: 0.463

a b c (Å): 4.195 4.195 5.098
angles (deg): 90.00 90.00 120.00
Fractional coordinates of all 5 atoms:
Cu: 0.000 0.000 0.000
Cu: 0.667 0.333 0.639
Cu: 0.333 0.667 0.361
Pt: 0.667 0.333 0.151
Pt: 0.333 0.667 0.849

Entry 6:
DFT (PBE) results for a relaxed structure of CaPm8Nd6.

Calculated values
Symmetry: R-3 (148)
Total moment in μB per atom: 0.000
Calculated total energy in eV/atom: -4.43
Formation energy in eV per formula unit: 2.232

a b c (Å): 8.410 8.410 8.410
angles (deg): 72.16 72.16 72.16
Fractional coordinates of all 15 atoms:
Ca: 0.000 0.000 0.000
Pm: 0.139 0.618 0.947
Pm: 0.053 0.861 0.382
Pm: 0.382 0.053 0.861
Pm: 0.768 0.768 0.768
Pm: 0.232 0.232 0.232
Pm: 0.618 0.947 0.139
Pm: 0.947 0.139 0.618
Pm: 0.861 0.382 0.053
Nd: 0.170 0.429 0.621
Nd: 0.379 0.830 0.571
Nd: 0.571 0.379 0.830
Nd: 0.429 0.621 0.170
Nd: 0.621 0.170 0.429
Nd: 0.830 0.571 0.379

- What is the formula in the third record?
  RbCd3Pt

- The lowest calculated total energy belongs to which entry?
  Cu3Pt2

- Look up the calculated total energy of the fifth one.
  -4.78 eV/atom

What did the third record say?
DFT (PBE) results for a relaxed structure of RbCd3Pt.

Calculated values
Symmetry: Pnma (62)
Total moment in μB per atom: 0.000
E above lowest polymorph in eV/atom: 0.177
Calculated total energy in eV/atom: -2.02
Formation energy in eV per formula unit: -0.366

a b c (Å): 5.619 10.602 8.461
angles (deg): 90.00 90.00 90.00
Fractional coordinates of all 20 atoms:
Rb: 0.691 0.250 0.351
Rb: 0.809 0.750 0.851
Rb: 0.309 0.750 0.649
Rb: 0.191 0.250 0.149
Pt: 0.000 0.000 0.500
Pt: 0.500 0.500 0.000
Pt: 0.500 0.000 0.000
Pt: 0.000 0.500 0.500
Cd: 0.076 0.045 0.832
Cd: 0.424 0.545 0.332
Cd: 0.424 0.955 0.332
Cd: 0.924 0.545 0.168
Cd: 0.924 0.955 0.168
Cd: 0.576 0.455 0.668
Cd: 0.576 0.045 0.668
Cd: 0.076 0.455 0.832
Cd: 0.663 0.250 0.900
Cd: 0.837 0.750 0.400
Cd: 0.337 0.750 0.100
Cd: 0.163 0.250 0.600